The following is a DFT calculation (GGA-PBE) of TbSi2Ru after structural relaxation.

SG = Pnma
Total moment = 0.00 μB per cell
Total DFT energy (no corrections) = -7.012 eV/atom

a = 7.026 Å, b = 4.004 Å, c = 9.996 Å
α = 90.00°, β = 90.00°, γ = 90.00°
Sites, in units of the cell vectors:
1 Tb 0.151 0.250 0.126
2 Tb 0.349 0.750 0.626
3 Tb 0.651 0.250 0.374
4 Tb 0.849 0.750 0.874
5 Si 0.150 0.250 0.817
6 Si 0.197 0.250 0.425
7 Si 0.303 0.750 0.925
8 Si 0.350 0.750 0.317
9 Si 0.650 0.250 0.683
10 Si 0.697 0.250 0.075
11 Si 0.803 0.750 0.575
12 Si 0.850 0.750 0.183
13 Ru 0.014 0.750 0.389
14 Ru 0.486 0.250 0.889
15 Ru 0.514 0.750 0.111
16 Ru 0.986 0.250 0.611

The following is a DFT calculation (GGA-PBE) of Tb4SiRu after structural relaxation.

SG = P2_1/m
Total moment = 0.00 μB per cell
Total DFT energy (no corrections) = -5.943 eV/atom

a = 5.965 Å, b = 6.498 Å, c = 8.392 Å
α = 90.00°, β = 110.46°, γ = 90.00°
Sites, in units of the cell vectors:
1 Tb 0.008 0.001 0.242
2 Tb 0.008 0.499 0.242
3 Tb 0.422 0.250 0.620
4 Tb 0.430 0.250 0.096
5 Tb 0.570 0.750 0.904
6 Tb 0.578 0.750 0.380
7 Tb 0.992 0.501 0.758
8 Tb 0.992 0.999 0.758
9 Si 0.221 0.750 0.555
10 Si 0.779 0.250 0.445
11 Ru 0.219 0.750 0.057
12 Ru 0.781 0.250 0.943

The following is a DFT calculation (GGA-PBE) of TbSi2Ru4 after structural relaxation.

SG = P4_2/mnm
Total moment = 0.00 μB per cell
E above lowest polymorph = 0.000 eV/atom
Total DFT energy (no corrections) = -8.129 eV/atom

a = 7.517 Å, b = 7.517 Å, c = 3.873 Å
α = 90.00°, β = 90.00°, γ = 90.00°
Sites, in units of the cell vectors:
1 Tb 0.000 0.000 0.000
2 Tb 0.500 0.500 0.500
3 Si 0.218 0.218 0.500
4 Si 0.282 0.718 0.000
5 Si 0.718 0.282 0.000
6 Si 0.782 0.782 0.500
7 Ru 0.079 0.659 0.500
8 Ru 0.159 0.421 0.000
9 Ru 0.341 0.921 0.500
10 Ru 0.421 0.159 0.000
11 Ru 0.579 0.841 0.000
12 Ru 0.659 0.079 0.500
13 Ru 0.841 0.579 0.000
14 Ru 0.921 0.341 0.500

The following is a DFT calculation (GGA-PBE) of TbSi2Ru after structural relaxation.

SG = R-3m
Total moment = 0.00 μB per cell
Total DFT energy (no corrections) = -6.944 eV/atom

a = 5.487 Å, b = 5.487 Å, c = 5.487 Å
α = 43.45°, β = 43.45°, γ = 43.45°
Sites, in units of the cell vectors:
1 Tb 0.000 0.000 0.000
2 Si 0.213 0.213 0.213
3 Si 0.787 0.787 0.787
4 Ru 0.500 0.500 0.500

The following is a DFT calculation (GGA-PBE) of TbSi3TcRu after structural relaxation.

SG = Cmcm
Total moment = 0.00 μB per cell
Total DFT energy (no corrections) = -7.146 eV/atom

a = 6.659 Å, b = 6.659 Å, c = 5.526 Å
α = 90.00°, β = 90.00°, γ = 109.90°
Sites, in units of the cell vectors:
1 Tb 0.248 0.752 0.750
2 Tb 0.752 0.248 0.250
3 Si 0.250 0.250 0.000
4 Si 0.250 0.250 0.500
5 Si 0.255 0.745 0.250
6 Si 0.745 0.255 0.750
7 Si 0.750 0.750 0.000
8 Si 0.750 0.750 0.500
9 Tc 0.052 0.948 0.250
10 Tc 0.948 0.052 0.750
11 Ru 0.457 0.543 0.250
12 Ru 0.543 0.457 0.750

The following is a DFT calculation (GGA-PBE) of TbTiSi2Ru after structural relaxation.

SG = I-4m2
Total moment = 0.00 μB per cell
Total DFT energy (no corrections) = -7.373 eV/atom

a = 6.115 Å, b = 6.115 Å, c = 6.115 Å
α = 141.85°, β = 141.85°, γ = 55.05°
Sites, in units of the cell vectors:
1 Tb 0.000 0.000 0.000
2 Ti 0.250 0.750 0.500
3 Si 0.389 0.389 0.000
4 Si 0.611 0.611 0.000
5 Ru 0.750 0.250 0.500

The following is a DFT calculation (GGA-PBE) of TbZn2SiRu2 after structural relaxation.

SG = P4/mmm
Total moment = 0.00 μB per cell
Total DFT energy (no corrections) = -5.430 eV/atom

a = 4.439 Å, b = 4.439 Å, c = 5.569 Å
α = 90.00°, β = 90.00°, γ = 90.00°
Sites, in units of the cell vectors:
1 Tb 0.000 0.000 0.000
2 Zn 0.500 0.500 0.231
3 Zn 0.500 0.500 0.769
4 Si 0.000 0.000 0.500
5 Ru 0.000 0.500 0.500
6 Ru 0.500 0.000 0.500

The following is a DFT calculation (GGA-PBE) of Si2TcRu after structural relaxation.

SG = P4/mmm
Total moment = 0.00 μB per cell
Total DFT energy (no corrections) = -8.161 eV/atom

a = 2.953 Å, b = 2.953 Å, c = 5.906 Å
α = 90.00°, β = 90.00°, γ = 90.00°
Sites, in units of the cell vectors:
1 Si 0.000 0.000 0.248
2 Si 0.000 0.000 0.752
3 Tc 0.500 0.500 0.000
4 Ru 0.500 0.500 0.500

Question: The lowest total DFT energy (no corrections) belongs to which entry?
Answer: Si2TcRu

Question: The highest total DFT energy (no corrections) belongs to which entry?
Answer: TbZn2SiRu2

Copy entry 1 word for word.
The following is a DFT calculation (GGA-PBE) of TbSi2Ru after structural relaxation.

SG = Pnma
Total moment = 0.00 μB per cell
Total DFT energy (no corrections) = -7.012 eV/atom

a = 7.026 Å, b = 4.004 Å, c = 9.996 Å
α = 90.00°, β = 90.00°, γ = 90.00°
Sites, in units of the cell vectors:
1 Tb 0.151 0.250 0.126
2 Tb 0.349 0.750 0.626
3 Tb 0.651 0.250 0.374
4 Tb 0.849 0.750 0.874
5 Si 0.150 0.250 0.817
6 Si 0.197 0.250 0.425
7 Si 0.303 0.750 0.925
8 Si 0.350 0.750 0.317
9 Si 0.650 0.250 0.683
10 Si 0.697 0.250 0.075
11 Si 0.803 0.750 0.575
12 Si 0.850 0.750 0.183
13 Ru 0.014 0.750 0.389
14 Ru 0.486 0.250 0.889
15 Ru 0.514 0.750 0.111
16 Ru 0.986 0.250 0.611

Question: Which of these has the lowest total DFT energy (no corrections)?
Answer: Si2TcRu